1.
Entry from Alexandria: a relaxed structure of RbCdIn2Sn2 (GGA-PBE).

M_tot   0.0 μB/f.u.
SG   P-3m1 (164)
Formation energy   -0.347 eV per formula unit

a b c (Å): 5.2728 5.2728 8.0523
angles (deg): 90.00 90.00 120.00
With the nearest neighbours (Å) after each atom.
Positions (direct):
1 Rb 0.0000 0.0000 0.0000  6 Sn 3.93, 6 In 3.95, 2 Cd 4.03
2 Cd 0.0000 0.0000 0.5000  6 In 3.40, 6 Sn 3.41
3 In 0.6667 0.3333 0.3126  4 Sn 3.04-3.05, 3 Cd 3.40
4 In 0.3333 0.6667 0.6874  4 Sn 3.04-3.05, 3 Cd 3.40
5 Sn 0.6667 0.3333 0.6914  4 In 3.04-3.05
6 Sn 0.3333 0.6667 0.3086  4 In 3.04-3.05



2.
Entry from Alexandria: a relaxed structure of PrGaNi (GGA-PBE).

M_tot   0.0 μB/f.u.
SG   F-43m (216)
Formation energy   -1.016 eV per formula unit

a b c (Å): 4.5328 4.5328 4.5328
angles (deg): 60.00 60.00 60.00
With the nearest neighbours (Å) after each atom.
Positions (direct):
1 Pr 0.5000 0.5000 0.5000  4 Ni 2.78
2 Ni 0.2500 0.2500 0.2500  4 Pr 2.78, 4 Ga 2.78
3 Ga 0.0000 0.0000 0.0000  4 Ni 2.78



3.
Entry from Alexandria: a relaxed structure of InBi2Pb2 (GGA-PBE).

M_tot   0.0 μB/f.u.
Energy relative to the lowest polymorph listed for this composition   0.000 eV/atom
SG   C2/c (15)
Formation energy   0.157 eV per formula unit

a b c (Å): 6.1777 6.7981 9.0227
angles (deg): 110.35 90.00 117.02
With the nearest neighbours (Å) after each atom.
Positions (direct):
1 In 0.6672 0.0000 0.7500  6 Pb 3.45-3.56, 6 Bi 3.50-3.55
2 In 0.3328 0.0000 0.2500  6 Pb 3.45-3.56, 6 Bi 3.50-3.55
3 Bi 0.7344 0.8014 0.0483  6 Pb 3.49-3.59, 3 Bi 3.49-3.56, 3 In 3.50-3.55
4 Bi 0.9331 0.1986 0.4517  6 Pb 3.49-3.59, 3 Bi 3.49-3.56, 3 In 3.50-3.55
5 Bi 0.2656 0.1986 0.9517  6 Pb 3.49-3.59, 3 Bi 3.49-3.56, 3 In 3.50-3.55
6 Bi 0.0669 0.8014 0.5483  6 Pb 3.49-3.59, 3 Bi 3.49-3.56, 3 In 3.50-3.55
7 Pb 0.5296 0.3950 0.6482  3 In 3.45-3.56, 6 Bi 3.49-3.59, 3 Pb 3.53-3.56
8 Pb 0.1345 0.6050 0.8518  3 In 3.45-3.56, 6 Bi 3.49-3.59, 3 Pb 3.53-3.56
9 Pb 0.4704 0.6050 0.3518  3 In 3.45-3.56, 6 Bi 3.49-3.59, 3 Pb 3.53-3.56
10 Pb 0.8655 0.3950 0.1482  3 In 3.45-3.56, 6 Bi 3.49-3.59, 3 Pb 3.53-3.56



4.
Entry from Alexandria: a relaxed structure of PrSm9Dy2 (GGA-PBE).

M_tot   0.0 μB/f.u.
Energy relative to the lowest polymorph listed for this composition   0.015 eV/atom
SG   P6/mmm (191)
Formation energy   0.406 eV per formula unit

a b c (Å): 3.5591 11.4483 11.4483
angles (deg): 120.00 90.00 90.00
With the nearest neighbours (Å) after each atom.
Positions (direct):
1 Pr 0.0000 0.0000 0.0000  2 Pr 3.56, 12 Sm 3.93
2 Sm 0.0000 0.0000 0.5000  2 Dy 3.30, 10 Sm 3.56-3.67
3 Sm 0.0000 0.5000 0.5000  2 Dy 3.30, 10 Sm 3.56-3.67
4 Sm 0.0000 0.5000 0.0000  2 Dy 3.30, 10 Sm 3.56-3.67
5 Sm 0.5000 0.3536 0.1768  8 Sm 3.51-3.67, 2 Dy 3.58
6 Sm 0.5000 0.1768 0.8232  8 Sm 3.51-3.67, 2 Dy 3.58
7 Sm 0.5000 0.1768 0.3536  8 Sm 3.51-3.67, 2 Dy 3.58
8 Sm 0.5000 0.8232 0.6464  8 Sm 3.51-3.67, 2 Dy 3.58
9 Sm 0.5000 0.8232 0.1768  8 Sm 3.51-3.67, 2 Dy 3.58
10 Sm 0.5000 0.6464 0.8232  8 Sm 3.51-3.67, 2 Dy 3.58
11 Dy 0.0000 0.3333 0.6667  9 Sm 3.30-3.58, 2 Dy 3.56
12 Dy 0.0000 0.6667 0.3333  9 Sm 3.30-3.58, 2 Dy 3.56



5.
Entry from Alexandria: a relaxed structure of Mn3SbRh (GGA-PBE).

M_tot   13.4 μB/f.u.
Uncorrected formation energy   721 meV/atom
SG   Pm-3m (221)

a b c (Å): 4.8018 4.8018 4.8018
angles (deg): 90.00 90.00 90.00
With the nearest neighbours (Å) after each atom.
Positions (direct):
1 Sb 0.5000 0.5000 0.5000  12 Mn 3.40
2 Mn 0.0000 0.5000 0.0000  2 Rh 2.40
3 Mn 0.0000 0.0000 0.5000  2 Rh 2.40
4 Mn 0.5000 0.0000 0.0000  2 Rh 2.40
5 Rh 0.0000 0.0000 0.0000  6 Mn 2.40



6.
Entry from Alexandria: a relaxed structure of Tm4GaAg (GGA-PBE).

M_tot   0.0 μB/f.u.
SG   Cmc2_1 (36)
Formation energy   -0.486 eV per formula unit

a b c (Å): 5.0044 6.2387 11.0940
angles (deg): 90.00 103.03 90.00
With the nearest neighbours (Å) after each atom.
Positions (direct):
1 Tm 0.8736 0.2826 0.7473  2 Ag 2.84, 1 Ga 3.04
2 Tm 0.1264 0.7826 0.2527  2 Ag 2.84, 1 Ga 3.04
3 Tm 0.4350 0.8667 0.8701  3 Ag 2.87-3.16
4 Tm 0.5650 0.3667 0.1299  3 Ag 2.87-3.16
5 Tm 0.7159 0.5491 0.4318  4 Tm 3.07-3.26, 3 Ga 3.14-3.15
6 Tm 0.2841 0.0491 0.5682  4 Tm 3.07-3.26, 3 Ga 3.14-3.15
7 Tm 0.6912 0.0644 0.3824  1 Ag 2.95, 2 Ga 3.01, 4 Tm 3.07-3.26
8 Tm 0.3088 0.5644 0.6176  1 Ag 2.95, 2 Ga 3.01, 4 Tm 3.07-3.26
9 Ga 0.8401 0.8102 0.6801  9 Tm 3.01-3.37
10 Ga 0.1599 0.3102 0.3199  9 Tm 3.01-3.37
11 Ag 0.5680 0.8604 0.1360  6 Tm 2.84-3.16
12 Ag 0.4320 0.3604 0.8640  6 Tm 2.84-3.16



7.
Entry from Alexandria: a relaxed structure of AlIn2Si (GGA-PBE).

M_tot   0.0 μB/f.u.
Uncorrected formation energy   336 meV/atom
SG   Pmmm (47)

a b c (Å): 4.2224 4.8912 4.1822
angles (deg): 90.00 90.00 90.00
With the nearest neighbours (Å) after each atom.
Positions (direct):
1 Si 0.5000 0.0000 0.5000  8 In 2.97-3.22, 4 Al 3.23
2 Al 0.0000 0.5000 0.5000  8 In 2.97-3.22, 4 Si 3.23
3 In 0.0000 0.0000 0.0000  4 Si 2.97, 4 Al 3.22, 4 In 3.23
4 In 0.5000 0.5000 0.0000  4 Al 2.97, 4 Si 3.22, 4 In 3.23



8.
Entry from Alexandria: a relaxed structure of GaBRh (GGA-PBE).

M_tot   0.0 μB/f.u.
SG   Cmcm (63)
Formation energy   -0.866 eV per formula unit

a b c (Å): 2.8658 2.8803 9.3056
angles (deg): 90.00 98.86 90.00
With the nearest neighbours (Å) after each atom.
Positions (direct):
1 Ga 0.4360 0.2500 0.8720  4 Rh 2.73, 6 Ga 2.76-2.88
2 Ga 0.5640 0.7500 0.1280  4 Rh 2.73, 6 Ga 2.76-2.88
3 Rh 0.8369 0.7500 0.6739  4 B 2.15
4 Rh 0.1631 0.2500 0.3261  4 B 2.15
5 B 0.7504 0.2500 0.5008  4 B 2.03, 4 Rh 2.15
6 B 0.2496 0.7500 0.4992  4 B 2.03, 4 Rh 2.15